Record 1
A plane-wave DFT calculation with meta-GGA SCAN was carried out for a PBEsol-optimized structure of Th2CuTc.

POSCAR file:
```
Th2CuTc
1.0
4.977 0.000 0.000
2.488 4.310 0.000
2.488 1.437 4.063
Cu Th Tc
1 2 1
Direct
0.500 0.500 0.500
0.250 0.250 0.250
0.750 0.750 0.750
0.000 0.000 0.000
```

Values from the calculation:
Space group: Fm-3m, No. 225

---

Record 2
A plane-wave DFT calculation with meta-GGA SCAN was carried out for a PBEsol-optimized structure of Ti3CuTc.

POSCAR file:
```
Ti3CuTc
1.0
-4.215 -0.613 -1.213
1.330 -2.670 -3.272
-0.278 -3.479 2.726
Tc Cu Ti
1 1 3
Direct
0.500 0.500 0.500
0.000 0.000 0.000
0.000 0.500 0.000
0.500 0.000 0.000
0.000 0.000 0.500
```

Values from the calculation:
Space group: Pm-3m, No. 221

---

Record 3
A plane-wave DFT calculation with meta-GGA SCAN was carried out for a PBEsol-optimized structure of TiCuTc3.

POSCAR file:
```
TiCuTc3
1.0
4.407 0.000 0.000
0.000 4.407 0.000
0.000 0.000 4.407
Tc Ti Cu
3 1 1
Direct
0.000 0.500 0.000
0.000 0.000 0.500
0.500 0.000 0.000
0.000 0.000 0.000
0.500 0.500 0.500
```

Values from the calculation:
Space group: Pm-3m, No. 221

---

Record 4
A plane-wave DFT calculation with meta-GGA SCAN was carried out for a PBEsol-optimized structure of Ti2CuTc.

POSCAR file:
```
Ti2CuTc
1.0
-4.239 0.079 -0.788
-2.783 -1.245 3.049
-2.503 2.917 1.955
Ti Cu Tc
2 1 1
Direct
0.750 0.750 0.750
0.250 0.250 0.250
0.000 0.000 0.000
0.500 0.500 0.500
```

Values from the calculation:
Space group: Fm-3m, No. 225

---

Record 5
A plane-wave DFT calculation with meta-GGA SCAN was carried out for a PBEsol-optimized structure of Tl2CuTc.

POSCAR file:
```
Tl2CuTc
1.0
-0.061 -0.595 -3.340
-2.427 -2.326 0.459
-4.264 4.313 -0.691
Tl Tc Cu
2 1 1
Direct
0.000 0.000 0.751
0.000 0.000 0.249
0.500 0.500 0.500
0.500 0.500 0.000
```

Values from the calculation:
Space group: P4/mmm, No. 123
Excess energy over the best structure of this formula in the dataset (eV/atom): 0.010

---

Record 6
A plane-wave DFT calculation with meta-GGA SCAN was carried out for a PBEsol-optimized structure of TlCuTc.

POSCAR file:
```
TlCuTc
1.0
4.212 0.000 0.000
2.106 3.648 0.000
2.106 1.216 3.439
Cu Tc Tl
1 1 1
Direct
0.250 0.250 0.250
0.000 0.000 0.000
0.500 0.500 0.500
```

Values from the calculation:
Space group: F-43m, No. 216
Excess energy over the best structure of this formula in the dataset (eV/atom): 0.073

---

Record 7
A plane-wave DFT calculation with meta-GGA SCAN was carried out for a PBEsol-optimized structure of TlCu2Tc.

POSCAR file:
```
TlCu2Tc
1.0
-3.118 2.230 -0.141
-2.136 -3.047 -0.933
1.946 -0.299 4.405
Cu Tl Tc
2 1 1
Direct
0.750 0.250 0.500
0.000 0.000 0.000
0.250 0.750 0.500
0.500 0.500 0.000
```

Values from the calculation:
Space group: I-4m2, No. 119
Excess energy over the best structure of this formula in the dataset (eV/atom): 0.019

---

Record 8
A plane-wave DFT calculation with meta-GGA SCAN was carried out for a PBEsol-optimized structure of Tl2CuTc.

POSCAR file:
```
Tl2CuTc
1.0
-1.395 0.521 2.684
-1.736 -0.442 -2.493
-0.121 -8.745 1.635
Cu Tl Tc
1 2 1
Direct
0.500 0.500 0.500
0.000 0.000 0.744
0.000 0.000 0.256
0.500 0.500 0.000
```

Values from the calculation:
Space group: Cmmm, No. 65
Excess energy over the best structure of this formula in the dataset (eV/atom): 0.000

---

What did we get for formation enthalpy at 0 K? Answer: -0.0521; 0.8420; 1.6413; -0.4041; 0.7085; 0.7778; 0.6084; 0.6981 eV/atom, in the order shown.